First-principles (PBE) data for a relaxed structure of NaAcGdGe, as listed in Alexandria via LeMat-Bulk.

Geometry as CIF:
```
data_NaAcGdGe
_space_group_name_H-M_alt 'P 1'
_space_group_IT_number 1
_space_group_name_Hall 'P 1'
_cell_length_a 7.722
_cell_length_b 7.722
_cell_length_c 7.722
_cell_angle_alpha 90.00
_cell_angle_beta 90.00
_cell_angle_gamma 90.00
loop_
_atom_site_label
_atom_site_fract_x
_atom_site_fract_y
_atom_site_fract_z
Na1 0.000 0.000 0.000
Na2 0.000 0.500 0.500
Na3 0.500 0.000 0.500
Na4 0.500 0.500 0.000
Ac1 0.250 0.250 0.250
Ac2 0.250 0.750 0.750
Ac3 0.750 0.250 0.750
Ac4 0.750 0.750 0.250
Gd1 0.250 0.250 0.750
Gd2 0.250 0.750 0.250
Gd3 0.750 0.250 0.250
Gd4 0.750 0.750 0.750
Ge1 0.000 0.000 0.500
Ge2 0.000 0.500 0.000
Ge3 0.500 0.000 0.000
Ge4 0.500 0.500 0.500
```

Calculated formation energy (meV per atom): -183